1.
Computed, not measured: a relaxed HfReAs2Rh crystal at the PBE level of DFT.

Output
theoretical density	9.8	Mg/m³
VASP energy	-6.8413	eV/atom
crystal system	tetragonal

Cell and atoms, written as POSCAR:
```
HfReAs2Rh
1.0
-0.667 -3.747 2.723
2.808 -2.576 -2.856
3.720 1.206 2.570
Re As Hf Rh
1 2 1 1
Cartesian
1.404 -1.288 -1.428
1.860 0.603 1.285
-0.334 -1.873 1.362
2.930 -2.559 1.219
0.000 0.000 0.000
```

---

2.
Computed, not measured: a relaxed PaGa2PdO8 crystal at the PBE level of DFT.

Output
theoretical density	7.0	Mg/m³
formation energy (no corrections)	-1.75	eV/atom
crystal system	orthorhombic

Cell and atoms, written as POSCAR:
```
PaGa2PdO8
1.0
4.748 -0.034 -0.003
-0.003 4.749 -0.006
0.004 0.007 6.346
Pa Ga Pd O
1 2 1 8
Cartesian
0.002 0.003 3.173
2.376 2.363 4.803
2.374 2.359 1.534
0.000 0.000 0.000
0.972 3.769 1.485
3.312 3.292 -0.006
3.775 0.950 1.487
3.777 0.954 4.853
1.437 1.430 6.344
0.974 3.772 4.851
3.234 3.216 3.167
1.515 1.506 3.170
```

---

3.
Computed, not measured: a relaxed AcCeSmBi crystal at the PBE level of DFT.

Output
theoretical density	9.3	Mg/m³
VASP energy	-4.8035	eV/atom
crystal system	cubic

Cell and atoms, written as POSCAR:
```
AcCeSmBi
1.0
5.689 0.000 0.000
2.844 4.926 0.000
2.844 1.642 4.645
Ac Ce Bi Sm
1 1 1 1
Cartesian
8.533 4.926 3.483
0.000 0.000 0.000
2.844 1.642 1.161
5.689 3.284 2.322
```